# SrTl2CoF (GGA+U, relaxed)
data_SrTl2CoF
_chemical_formula_sum 'Sr1 Tl2 Co1 F1'
_cell_length_a 5.902
_cell_length_b 5.902
_cell_length_c 3.897
_cell_angle_alpha 90.00
_cell_angle_beta 90.00
_cell_angle_gamma 90.00
_space_group_name_H-M_alt 'P 4/m m m'
_space_group_IT_number 123
_space_group_name_Hall '-P 4 2'
loop_
_atom_site_label
_atom_site_type_symbol
_atom_site_fract_x
_atom_site_fract_y
_atom_site_fract_z
Sr1 Sr 0.000 0.000 0.000
Tl1 Tl 0.000 0.500 0.500
Co1 Co 0.500 0.500 0.000
F1 F 0.500 0.500 0.500
# DOS at the Fermi energy ... 3.2 states/eV per cell
# Calculated total energy ... -3.01 eV/atom